1.
{"formula": "Ba2SmCd", "functional": "PBE", "state": "optimized geometry", "delta_e_f_ev_per_atom": 0.24, "polymorph_energy_kj_per_mol_fu": 88.1, "e_tot_ev_per_atom": -2.127, "sg": "No. 166", "lattice": [[-0.9637, 1.6634, 3.3787], [-3.3641, -0.9075, 1.7234], [4.4275, -9.3510, 8.1028]], "species": ["Sm", "Cd", "Ba", "Ba"], "fractional_positions": [[0.0000, 0.0000, 0.0000], [0.5000, 0.5000, 0.5000], [0.0947, 0.0947, 0.7158], [0.9053, 0.9053, 0.2842]]}


2.
{"formula": "BaSmCd", "functional": "PBE", "state": "optimized geometry", "delta_e_f_ev_per_atom": 0.02, "polymorph_energy_kj_per_mol_fu": 49.9, "e_tot_ev_per_atom": -2.504, "sg": "No. 187", "lattice": [[-0.7589, -4.1319, -1.0262], [-0.3958, -1.2580, 5.3580], [-4.4941, 1.5247, -2.8153]], "species": ["Sm", "Ba", "Cd"], "fractional_positions": [[0.1670, 0.0000, 0.0000], [0.6668, 0.6667, 0.3333], [0.1662, 0.3333, 0.6667]]}


3.
{"formula": "Ba2SmCd", "functional": "PBE", "state": "optimized geometry", "delta_e_f_ev_per_atom": 0.01, "polymorph_energy_kj_per_mol_fu": 0.0, "e_tot_ev_per_atom": -2.355, "sg": "No. 123", "lattice": [[4.1065, 0.0000, 0.0000], [0.0000, 4.1065, 0.0000], [0.0000, 0.0000, 9.9820]], "species": ["Sm", "Ba", "Ba", "Cd"], "fractional_positions": [[0.5000, 0.5000, 0.5000], [0.0000, 0.0000, 0.7811], [0.0000, 0.0000, 0.2189], [0.5000, 0.5000, 0.0000]]}


4.
{"formula": "BaSmCd4", "functional": "PBE", "state": "optimized geometry", "delta_e_f_ev_per_atom": -0.33, "polymorph_energy_kj_per_mol_fu": 0.0, "e_tot_ev_per_atom": -2.047, "sg": "No. 47", "lattice": [[-0.4973, -3.5168, 0.8419], [5.0228, -0.4225, 1.2018], [-1.8504, 2.3069, 8.5442]], "species": ["Cd", "Cd", "Cd", "Cd", "Sm", "Ba"], "fractional_positions": [[0.4986, 0.4973, 0.3157], [0.4986, 0.9973, 0.1548], [0.4985, 0.9973, 0.8415], [0.4986, 0.4973, 0.6806], [0.9986, 0.4973, 0.9981], [0.9986, 0.9973, 0.4981]]}


5.
{"formula": "Ba2SmCd3Sn4", "functional": "PBE", "state": "optimized geometry", "delta_e_f_ev_per_atom": -0.48, "e_tot_ev_per_atom": -3.215, "sg": "No. 115", "lattice": [[5.0061, 0.0000, 0.0000], [0.0000, 5.0061, 0.0000], [0.0000, 0.0000, 12.6257]], "species": ["Sn", "Sn", "Sn", "Sn", "Ba", "Ba", "Cd", "Cd", "Cd", "Sm"], "fractional_positions": [[0.5000, 0.0000, 0.6435], [0.5000, 0.5000, 0.0000], [0.0000, 0.0000, 0.0000], [0.0000, 0.5000, 0.3565], [0.0000, 0.5000, 0.7653], [0.5000, 0.0000, 0.2347], [0.0000, 0.0000, 0.5000], [0.5000, 0.0000, 0.8705], [0.0000, 0.5000, 0.1295], [0.5000, 0.5000, 0.5000]]}


6.
{"formula": "BaSmTlCd", "functional": "PBE", "state": "optimized geometry", "delta_e_f_ev_per_atom": -0.26, "e_tot_ev_per_atom": -2.736, "sg": "No. 216", "lattice": [[5.7381, 0.0000, 0.0000], [2.8690, 4.9693, 0.0000], [2.8690, 1.6564, 4.6851]], "species": ["Ba", "Tl", "Cd", "Sm"], "fractional_positions": [[0.0000, 0.0000, 0.0000], [0.2500, 0.2500, 0.2500], [0.7500, 0.7500, 0.7500], [0.5000, 0.5000, 0.5000]]}


7.
{"formula": "BaSmZnCd", "functional": "PBE", "state": "optimized geometry", "delta_e_f_ev_per_atom": -0.15, "e_tot_ev_per_atom": -2.360, "sg": "No. 216", "lattice": [[5.5815, 0.0000, 0.0000], [2.7908, 4.8337, 0.0000], [2.7908, 1.6112, 4.5573]], "species": ["Ba", "Sm", "Zn", "Cd"], "fractional_positions": [[0.7500, 0.7500, 0.7500], [0.2500, 0.2500, 0.2500], [0.5000, 0.5000, 0.5000], [0.0000, 0.0000, 0.0000]]}


8.
{"formula": "BaCd10Sn2", "functional": "PBE", "state": "optimized geometry", "delta_e_f_ev_per_atom": -0.11, "e_tot_ev_per_atom": -1.577, "sg": "No. 69", "lattice": [[-2.7283, 4.1024, 4.1305], [-4.6552, -3.2990, 5.2053], [4.3845, 1.2251, 6.6828]], "species": ["Cd", "Cd", "Cd", "Cd", "Cd", "Cd", "Cd", "Cd", "Cd", "Cd", "Sn", "Sn", "Ba"], "fractional_positions": [[0.2806, 0.2142, 0.2247], [0.0046, 0.3525, 0.6383], [0.5000, 0.0000, 0.5000], [0.7194, 0.7858, 0.7753], [0.4947, 0.7858, 0.2247], [0.6429, 0.3525, 0.3617], [0.0000, 0.0000, 0.5000], [0.5053, 0.2142, 0.7753], [0.9954, 0.6475, 0.3617], [0.3571, 0.6475, 0.6383], [0.5000, 0.5000, 0.0000], [0.0000, 0.5000, 0.0000], [0.0000, 0.0000, 0.0000]]}


Number 1 is which compound?
Ba2SmCd


What is the formula in the sixth record?
BaSmTlCd